# 1
VASP calculation (GGA-PBE) on crystalline TiRu3 at its relaxed geometry.

Geometry as CIF:
```
data_TiRu3
_chemical_formula_sum 'Ti2 Ru6'
_space_group_name_H-M_alt 'I 4/m m m'
_space_group_IT_number 139
_space_group_name_Hall '-I 4 2'
_cell_length_a 3.837
_cell_length_b 3.837
_cell_length_c 7.805
_cell_angle_alpha 90.00
_cell_angle_beta 90.00
_cell_angle_gamma 90.00
loop_
_atom_site_label
_atom_site_fract_x
_atom_site_fract_y
_atom_site_fract_z
Ti1 0.000 0.000 0.000
Ru1 0.000 0.000 0.500
Ru2 0.000 0.500 0.250
```

Crystal system ... tetragonal
Density ... 10.144 g/cm3
N(E_F) ... 11.4 states/eV/cell
DFT formation energy ... -0.1744 eV/atom


# 2
VASP calculation (GGA-PBE) on crystalline TbNdPd2 at its relaxed geometry.

Geometry as CIF:
```
data_TbNdPd2
_chemical_formula_sum 'Tb3 Nd3 Pd6'
_space_group_name_H-M_alt 'R -3 m'
_space_group_IT_number 166
_space_group_name_Hall '-R 3 2"'
_cell_length_a 4.1698
_cell_length_b 4.1698
_cell_length_c 20.1752
_cell_angle_alpha 90.00
_cell_angle_beta 90.00
_cell_angle_gamma 120.00
loop_
_atom_site_label
_atom_site_fract_x
_atom_site_fract_y
_atom_site_fract_z
Tb1 0.0000 0.0000 0.0000
Nd1 0.0000 0.0000 0.5000
Pd1 0.0000 0.0000 0.2539
```

Crystal system ... trigonal
Density ... 8.461 g/cm3
Energy above the lowest structure with this stoichiometry ... 148 meV/atom
N(E_F) ... 7.4 states/eV/cell
DFT formation energy ... -0.7043 eV/atom